Entry i
A geometry-optimized AgP2Pt structure, computed with PBE.

```
data_AgP2Pt
_cell_length_a 2.756
_cell_length_b 4.511
_cell_length_c 5.193
_cell_angle_alpha 90.00
_cell_angle_beta 90.09
_cell_angle_gamma 90.00
_space_group_name_H-M_alt 'P 1 m 1'
_space_group_IT_number 6
_space_group_name_Hall 'P -2y'
loop_
_atom_site_label
_atom_site_fract_x
_atom_site_fract_y
_atom_site_fract_z
Ag1 0.000 0.000 0.000
P1 0.481 0.000 0.512
P2 0.483 0.500 0.177
Pt1 0.482 0.500 0.695
```

The value obtained for the magnetic moment is 0.0 μB/f.u. Its calculated density is 9.38 g/cm³. The calculation puts the volume at 16.1 Å³ per atom.

Entry ii
A geometry-optimized AgP2Pt structure, computed with PBE.

```
data_AgP2Pt
_cell_length_a 3.044
_cell_length_b 3.044
_cell_length_c 6.952
_cell_angle_alpha 90.00
_cell_angle_beta 90.00
_cell_angle_gamma 90.00
_space_group_name_H-M_alt 'P 4/m m m'
_space_group_IT_number 123
_space_group_name_Hall '-P 4 2'
loop_
_atom_site_label
_atom_site_fract_x
_atom_site_fract_y
_atom_site_fract_z
Ag1 0.000 0.000 0.000
P1 0.500 0.500 0.278
Pt1 0.000 0.000 0.500
```

The value obtained for the magnetic moment is 0.0 μB/f.u. Its calculated density is 9.41 g/cm³. The calculation puts the volume at 16.1 Å³ per atom.

Entry iii
A geometry-optimized AgP2Pt structure, computed with PBE.

```
data_AgP2Pt
_cell_length_a 4.169
_cell_length_b 3.911
_cell_length_c 4.463
_cell_angle_alpha 90.00
_cell_angle_beta 92.58
_cell_angle_gamma 90.00
_space_group_name_H-M_alt 'P 1 2/m 1'
_space_group_IT_number 10
_space_group_name_Hall '-P 2y'
loop_
_atom_site_label
_atom_site_fract_x
_atom_site_fract_y
_atom_site_fract_z
Ag1 0.000 0.000 0.000
P1 0.213 0.500 0.648
Pt1 0.500 0.000 0.500
```

The value obtained for the magnetic moment is 0.0 μB/f.u. Its calculated density is 8.34 g/cm³. The calculation puts the volume at 18.2 Å³ per atom.

Energy comparison, zero being the most stable, in eV/atom: entry i 0.281; entry ii 0.306; entry iii 0.000.

Entry i
A geometry-optimized AgP2Pt structure, computed with PBE.

```
data_AgP2Pt
_cell_length_a 3.2641
_cell_length_b 3.2641
_cell_length_c 20.8458
_cell_angle_alpha 90.00
_cell_angle_beta 90.00
_cell_angle_gamma 120.00
_space_group_name_H-M_alt 'R 3 m'
_space_group_IT_number 160
_space_group_name_Hall 'R 3 -2"'
loop_
_atom_site_label
_atom_site_fract_x
_atom_site_fract_y
_atom_site_fract_z
Ag1 0.0000 0.0000 0.0000
P1 0.0000 0.0000 0.2425
P2 0.0000 0.0000 0.5109
Pt1 0.0000 0.0000 0.7712
```

The value obtained for the magnetic moment is 0.0 μB/f.u. Its calculated density is 9.45 g/cm³. The calculation puts the volume at 16.0 Å³ per atom.

Entry ii
A geometry-optimized AgP2Pt structure, computed with PBE.

```
data_AgP2Pt
_cell_length_a 6.315
_cell_length_b 6.315
_cell_length_c 6.315
_cell_angle_alpha 90.00
_cell_angle_beta 90.00
_cell_angle_gamma 90.00
_space_group_name_H-M_alt 'F m -3 m'
_space_group_IT_number 225
_space_group_name_Hall '-F 4 2 3'
loop_
_atom_site_label
_atom_site_fract_x
_atom_site_fract_y
_atom_site_fract_z
Ag1 0.000 0.000 0.000
P1 0.250 0.250 0.250
Pt1 0.000 0.000 0.500
```

The value obtained for the magnetic moment is 0.0 μB/f.u. Its calculated density is 9.63 g/cm³. The calculation puts the volume at 15.7 Å³ per atom.

Energy comparison, zero being the most stable, in eV/atom: entry i 0.000; entry ii 0.207.

Entry i
A geometry-optimized AgP2Pt structure, computed with PBE.

```
data_AgP2Pt
_cell_length_a 3.174
_cell_length_b 4.788
_cell_length_c 8.335
_cell_angle_alpha 90.00
_cell_angle_beta 90.00
_cell_angle_gamma 90.00
_space_group_name_H-M_alt 'I m m 2'
_space_group_IT_number 44
_space_group_name_Hall 'I 2 -2'
loop_
_atom_site_label
_atom_site_fract_x
_atom_site_fract_y
_atom_site_fract_z
Ag1 0.000 0.000 0.000
P1 0.000 0.000 0.520
P2 0.000 0.500 0.222
Pt1 0.000 0.500 0.794
```

The value obtained for the magnetic moment is 0.0 μB/f.u. Its calculated density is 9.57 g/cm³. The calculation puts the volume at 15.8 Å³ per atom.

Entry ii
A geometry-optimized AgP2Pt structure, computed with PBE.

```
data_AgP2Pt
_cell_length_a 6.370
_cell_length_b 6.370
_cell_length_c 6.370
_cell_angle_alpha 90.00
_cell_angle_beta 90.00
_cell_angle_gamma 90.00
_space_group_name_H-M_alt 'F -4 3 m'
_space_group_IT_number 216
_space_group_name_Hall 'F -4 2 3'
loop_
_atom_site_label
_atom_site_fract_x
_atom_site_fract_y
_atom_site_fract_z
Ag1 0.000 0.000 0.000
P1 0.000 0.000 0.500
P2 0.250 0.250 0.250
Pt1 0.250 0.250 0.750
```

The value obtained for the magnetic moment is 0.0 μB/f.u. Its calculated density is 9.38 g/cm³. The calculation puts the volume at 16.2 Å³ per atom.

Energy comparison, zero being the most stable, in eV/atom: entry i 0.000; entry ii 0.260.

Entry i
A geometry-optimized Y2AgPPt structure, computed with PBE.

```
data_Y2AgPPt
_cell_length_a 5.238
_cell_length_b 5.238
_cell_length_c 4.517
_cell_angle_alpha 90.00
_cell_angle_beta 90.00
_cell_angle_gamma 90.00
_space_group_name_H-M_alt 'P 4/m m m'
_space_group_IT_number 123
_space_group_name_Hall '-P 4 2'
loop_
_atom_site_label
_atom_site_fract_x
_atom_site_fract_y
_atom_site_fract_z
Y1 0.000 0.500 0.000
Ag1 0.000 0.000 0.500
P1 0.000 0.000 0.000
Pt1 0.500 0.500 0.500
```

The value obtained for the magnetic moment is 0.0 μB/f.u. Its calculated density is 6.85 g/cm³. The calculation puts the volume at 24.8 Å³ per atom.

Entry ii
A geometry-optimized Y2AgPPt structure, computed with PBE.

```
data_Y2AgPPt
_cell_length_a 5.475
_cell_length_b 5.475
_cell_length_c 4.367
_cell_angle_alpha 90.00
_cell_angle_beta 90.00
_cell_angle_gamma 90.00
_space_group_name_H-M_alt 'P 4/m m m'
_space_group_IT_number 123
_space_group_name_Hall '-P 4 2'
loop_
_atom_site_label
_atom_site_fract_x
_atom_site_fract_y
_atom_site_fract_z
Y1 0.000 0.500 0.000
Ag1 0.000 0.000 0.000
P1 0.000 0.000 0.500
Pt1 0.500 0.500 0.500
```

The value obtained for the magnetic moment is 0.0 μB/f.u. Its calculated density is 6.49 g/cm³. The calculation puts the volume at 26.2 Å³ per atom.

Energy comparison, zero being the most stable, in eV/atom: entry i 0.000; entry ii 0.633.

Entry i
A geometry-optimized Rb2Ag2P structure, computed with PBE.

```
data_Rb2Ag2P
_cell_length_a 7.071
_cell_length_b 7.071
_cell_length_c 5.615
_cell_angle_alpha 90.00
_cell_angle_beta 90.00
_cell_angle_gamma 90.00
_space_group_name_H-M_alt 'P 4/m b m'
_space_group_IT_number 127
_space_group_name_Hall '-P 4 2ab'
loop_
_atom_site_label
_atom_site_fract_x
_atom_site_fract_y
_atom_site_fract_z
Rb1 0.182 0.318 0.000
Ag1 0.147 0.647 0.500
P1 0.000 0.000 0.500
```

The value obtained for the magnetic moment is 0.0 μB/f.u. Its calculated density is 4.94 g/cm³. The calculation puts the volume at 28.1 Å³ per atom.

Entry ii
A geometry-optimized Rb2Ag2P structure, computed with PBE.

```
data_Rb2Ag2P
_cell_length_a 3.865
_cell_length_b 3.865
_cell_length_c 21.650
_cell_angle_alpha 90.00
_cell_angle_beta 90.00
_cell_angle_gamma 90.00
_space_group_name_H-M_alt 'I 4/m m m'
_space_group_IT_number 139
_space_group_name_Hall '-I 4 2'
loop_
_atom_site_label
_atom_site_fract_x
_atom_site_fract_y
_atom_site_fract_z
Rb1 0.000 0.000 0.096
Ag1 0.000 0.500 0.250
P1 0.000 0.000 0.500
```

The value obtained for the magnetic moment is 0.0 μB/f.u. Its calculated density is 4.29 g/cm³. The calculation puts the volume at 32.3 Å³ per atom.

Energy comparison, zero being the most stable, in eV/atom: entry i 0.000; entry ii 0.096.

Entry i
A geometry-optimized RbAg2P2 structure, computed with PBE.

```
data_RbAg2P2
_cell_length_a 4.614
_cell_length_b 4.614
_cell_length_c 10.073
_cell_angle_alpha 90.00
_cell_angle_beta 90.00
_cell_angle_gamma 90.00
_space_group_name_H-M_alt 'I 4/m m m'
_space_group_IT_number 139
_space_group_name_Hall '-I 4 2'
loop_
_atom_site_label
_atom_site_fract_x
_atom_site_fract_y
_atom_site_fract_z
Rb1 0.000 0.000 0.000
Ag1 0.000 0.500 0.250
P1 0.000 0.000 0.390
```

The value obtained for the magnetic moment is 0.0 μB/f.u. Its calculated density is 5.62 g/cm³. The calculation puts the volume at 21.4 Å³ per atom.

Entry ii
A geometry-optimized RbAg2P2 structure, computed with PBE.

```
data_RbAg2P2
_cell_length_a 4.832
_cell_length_b 4.832
_cell_length_c 11.176
_cell_angle_alpha 90.00
_cell_angle_beta 90.00
_cell_angle_gamma 90.00
_space_group_name_H-M_alt 'I 4/m m m'
_space_group_IT_number 139
_space_group_name_Hall '-I 4 2'
loop_
_atom_site_label
_atom_site_fract_x
_atom_site_fract_y
_atom_site_fract_z
Rb1 0.000 0.000 0.000
Ag1 0.000 0.000 0.321
P1 0.000 0.500 0.250
```

The value obtained for the magnetic moment is 0.0 μB/f.u. Its calculated density is 4.62 g/cm³. The calculation puts the volume at 26.1 Å³ per atom.

Entry iii
A geometry-optimized RbAg2P2 structure, computed with PBE.

```
data_RbAg2P2
_cell_length_a 8.422
_cell_length_b 8.422
_cell_length_c 2.911
_cell_angle_alpha 90.00
_cell_angle_beta 90.00
_cell_angle_gamma 90.00
_space_group_name_H-M_alt 'P 4/m b m'
_space_group_IT_number 127
_space_group_name_Hall '-P 4 2ab'
loop_
_atom_site_label
_atom_site_fract_x
_atom_site_fract_y
_atom_site_fract_z
Rb1 0.000 0.000 0.000
Ag1 0.128 0.372 0.000
P1 0.158 0.658 0.500
```

The value obtained for the magnetic moment is 0.0 μB/f.u. Its calculated density is 5.84 g/cm³. The calculation puts the volume at 20.6 Å³ per atom.

Energy comparison, zero being the most stable, in eV/atom: entry i 0.000; entry ii 0.176; entry iii 0.322.